(1)
A plane-wave DFT calculation with GGA-PBE was carried out for a relaxed structure of Lu2TcAg.

Cell and atoms, written as POSCAR:
```
Lu2TcAg
1.0
3.410 0.000 0.000
0.000 3.410 0.000
0.000 0.000 7.190
Lu Tc Ag
2 1 1
direct
0.000 0.000 0.223
0.000 0.000 0.777
0.500 0.500 0.000
0.500 0.500 0.500
```

Polymorph energy (0 for the lowest one) in meV/atom: 0.0
E_tot in eV/atom: -5.83
Magnetic moment in μB per formula unit: 0.000


(2)
A plane-wave DFT calculation with GGA-PBE was carried out for a relaxed structure of MnRe2.

Cell and atoms, written as POSCAR:
```
MnRe2
1.0
4.963 -1.355 0.000
4.963 1.355 0.000
-1.570 0.000 6.195
Mn Re
2 4
direct
0.000 0.000 0.000
0.658 0.658 0.322
0.057 0.057 0.599
0.330 0.330 0.658
0.387 0.387 0.265
0.713 0.713 0.945
```

E_tot in eV/atom: -11.27
Magnetic moment in μB per formula unit: 0.071


(3)
A plane-wave DFT calculation with GGA-PBE was carried out for a relaxed structure of Tb5CePrSm2.

Cell and atoms, written as POSCAR:
```
Tb5CePrSm2
1.0
-4.358 4.358 7.788
4.358 -4.358 7.788
4.358 4.358 -7.788
Tb Ce Pr Sm
10 2 2 4
direct
0.000 0.000 0.000
0.062 0.562 0.900
0.162 0.062 0.500
0.338 0.838 0.900
0.438 0.338 0.500
0.500 0.500 0.000
0.562 0.662 0.500
0.662 0.162 0.100
0.838 0.938 0.500
0.938 0.438 0.100
0.250 0.750 0.500
0.750 0.250 0.500
0.250 0.250 0.000
0.750 0.750 0.000
0.121 0.379 0.500
0.379 0.879 0.259
0.621 0.121 0.741
0.879 0.621 0.500
```

E_tot in eV/atom: -4.54
Magnetic moment in μB per formula unit: 1.090


(4)
A plane-wave DFT calculation with GGA-PBE was carried out for a relaxed structure of MgCuTcSnOsC.

Cell and atoms, written as POSCAR:
```
MgCuTcSnOsC
1.0
4.981 -2.089 0.000
4.981 2.089 0.000
-0.071 0.000 4.861
Mg Cu Tc Sn Os C
1 1 1 1 1 1
direct
0.000 0.000 0.000
0.864 0.864 0.474
0.552 0.552 0.434
0.709 0.709 0.963
0.173 0.173 0.550
0.361 0.361 0.481
```

Polymorph energy (0 for the lowest one) in meV/atom: 62.1
E_tot in eV/atom: -6.46
Magnetic moment in μB per formula unit: 0.000


(5)
A plane-wave DFT calculation with GGA-PBE was carried out for a relaxed structure of KPaTaN4.

Cell and atoms, written as POSCAR:
```
KPaTaN4
1.0
6.128 0.000 0.000
0.000 5.916 0.000
-2.802 0.000 7.782
K Pa Ta N
2 2 2 8
direct
0.114 0.250 0.138
0.886 0.750 0.862
0.296 0.750 0.458
0.704 0.250 0.542
0.257 0.250 0.673
0.743 0.750 0.327
0.008 0.250 0.777
0.028 0.250 0.451
0.470 0.010 0.659
0.470 0.490 0.659
0.530 0.510 0.341
0.530 0.990 0.341
0.972 0.750 0.549
0.992 0.750 0.223
```

Energy relative to the elements, uncorrected in eV per formula unit: -5.4
E_tot in eV/atom: -8.74
Magnetic moment in μB per formula unit: 0.632


(6)
A plane-wave DFT calculation with GGA-PBE was carried out for a relaxed structure of Y2Mg3Pd4.

Cell and atoms, written as POSCAR:
```
Y2Mg3Pd4
1.0
4.724 0.000 0.000
2.360 4.094 0.000
0.010 0.015 9.140
Y Mg Pd
2 3 4
direct
0.167 0.165 0.213
0.833 0.835 0.787
0.167 0.168 0.581
0.500 0.500 0.000
0.833 0.832 0.419
0.167 0.168 0.896
0.500 0.498 0.349
0.500 0.502 0.651
0.833 0.832 0.104
```

Polymorph energy (0 for the lowest one) in meV/atom: 9.5
E_tot in eV/atom: -4.97
Magnetic moment in μB per formula unit: 0.000


(7)
A plane-wave DFT calculation with GGA-PBE was carried out for a relaxed structure of ErTmRuAu.

Cell and atoms, written as POSCAR:
```
ErTmRuAu
1.0
0.000 3.460 3.460
3.460 0.000 3.460
3.460 3.460 0.000
Er Tm Ru Au
1 1 1 1
direct
0.000 0.000 0.000
0.500 0.500 0.500
0.250 0.250 0.250
0.750 0.750 0.750
```

Polymorph energy (0 for the lowest one) in meV/atom: 74.2
E_tot in eV/atom: -6.03
Magnetic moment in μB per formula unit: 0.000


(8)
A plane-wave DFT calculation with GGA-PBE was carried out for a relaxed structure of LaP2S.

Cell and atoms, written as POSCAR:
```
LaP2S
1.0
-1.967 1.967 11.635
1.967 -1.967 11.635
1.967 1.967 -11.635
La P S
2 4 2
direct
0.000 0.000 0.000
0.750 0.250 0.500
0.198 0.625 0.073
0.375 0.448 0.573
0.552 0.125 0.927
0.875 0.802 0.427
0.250 0.750 0.500
0.500 0.500 0.000
```

Energy relative to the elements, uncorrected in eV per formula unit: -2.7
E_tot in eV/atom: -5.63
Magnetic moment in μB per formula unit: 0.000


(9)
A plane-wave DFT calculation with GGA-PBE was carried out for a relaxed structure of HoErCd4.

Cell and atoms, written as POSCAR:
```
HoErCd4
1.0
6.502 -1.684 0.000
6.502 1.684 0.000
-1.798 0.000 6.614
Ho Er Cd
1 1 4
direct
0.000 0.000 0.000
0.000 0.000 0.500
0.327 0.327 0.164
0.327 0.327 0.663
0.673 0.673 0.337
0.673 0.673 0.836
```

Polymorph energy (0 for the lowest one) in meV/atom: 83.5
E_tot in eV/atom: -2.35
Magnetic moment in μB per formula unit: 0.315


(10)
A plane-wave DFT calculation with GGA-PBE was carried out for a relaxed structure of Ac2HoSn3Pt4.

Cell and atoms, written as POSCAR:
```
Ac2HoSn3Pt4
1.0
4.715 0.000 0.000
0.000 4.715 0.000
0.000 0.000 11.054
Ac Ho Sn Pt
2 1 3 4
direct
0.000 0.500 0.229
0.500 0.000 0.771
0.000 0.000 0.500
0.000 0.500 0.879
0.500 0.000 0.121
0.500 0.500 0.500
0.000 0.000 0.000
0.000 0.500 0.639
0.500 0.000 0.361
0.500 0.500 0.000
```

E_tot in eV/atom: -5.87
Magnetic moment in μB per formula unit: 0.000


(11)
A plane-wave DFT calculation with GGA-PBE was carried out for a relaxed structure of Pm8Ho2Th3.

Cell and atoms, written as POSCAR:
```
Pm8Ho2Th3
1.0
4.997 -5.514 0.000
4.997 5.514 0.000
-3.386 0.000 8.056
Pm Ho Th
8 2 3
direct
0.081 0.596 0.320
0.090 0.090 0.344
0.398 0.398 0.784
0.404 0.919 0.680
0.596 0.081 0.320
0.602 0.602 0.216
0.910 0.910 0.656
0.919 0.404 0.680
0.234 0.234 0.044
0.766 0.766 0.956
0.236 0.764 0.000
0.500 0.500 0.500
0.764 0.236 0.000
```

E_tot in eV/atom: -5.10
Magnetic moment in μB per formula unit: 0.001


(12)
A plane-wave DFT calculation with GGA-PBE was carried out for a relaxed structure of NaTlHg2F8.

Cell and atoms, written as POSCAR:
```
NaTlHg2F8
1.0
4.092 0.000 0.000
0.000 7.686 0.000
-0.012 0.000 5.578
Na Tl Hg F
1 1 2 8
direct
0.000 0.000 0.000
0.000 0.500 0.000
0.500 0.239 0.500
0.500 0.761 0.500
0.001 0.270 0.756
0.001 0.730 0.756
0.499 0.500 0.238
0.500 0.000 0.248
0.500 0.000 0.752
0.501 0.500 0.762
0.999 0.270 0.244
0.999 0.730 0.244
```

Energy relative to the elements, uncorrected in eV per formula unit: -21.4
E_tot in eV/atom: -3.39
Magnetic moment in μB per formula unit: 0.000


(13)
A plane-wave DFT calculation with GGA-PBE was carried out for a relaxed structure of La2PrY6Ho2.

Cell and atoms, written as POSCAR:
```
La2PrY6Ho2
1.0
3.112 -5.325 0.000
3.112 5.325 0.000
-0.147 0.000 11.584
La Pr Y Ho
2 1 6 2
direct
0.173 0.827 0.000
0.827 0.173 0.000
0.500 0.500 0.500
0.159 0.491 0.253
0.179 0.179 0.750
0.491 0.159 0.253
0.509 0.841 0.747
0.821 0.821 0.250
0.841 0.509 0.747
0.166 0.834 0.500
0.834 0.166 0.500
```

E_tot in eV/atom: -5.52
Magnetic moment in μB per formula unit: 0.000


(14)
A plane-wave DFT calculation with GGA-PBE was carried out for a relaxed structure of Nb2V4W5.

Cell and atoms, written as POSCAR:
```
Nb2V4W5
1.0
10.020 -1.350 0.000
10.020 1.350 0.000
-2.135 0.000 6.582
Nb V W
2 4 5
direct
0.195 0.195 0.092
0.805 0.805 0.908
0.217 0.217 0.572
0.454 0.454 0.092
0.546 0.546 0.908
0.783 0.783 0.428
0.000 0.000 0.500
0.371 0.371 0.295
0.403 0.403 0.702
0.597 0.597 0.298
0.629 0.629 0.705
```

Polymorph energy (0 for the lowest one) in meV/atom: 454.2
E_tot in eV/atom: -10.62
Magnetic moment in μB per formula unit: 0.000


(15)
A plane-wave DFT calculation with GGA-PBE was carried out for a relaxed structure of NpMnVOs.

Cell and atoms, written as POSCAR:
```
NpMnVOs
1.0
0.000 3.174 3.174
3.174 0.000 3.174
3.174 3.174 0.000
Np Mn V Os
1 1 1 1
direct
0.000 0.000 0.000
0.750 0.750 0.750
0.500 0.500 0.500
0.250 0.250 0.250
```

E_tot in eV/atom: -10.43
Magnetic moment in μB per formula unit: 2.521


(16)
A plane-wave DFT calculation with GGA-PBE was carried out for a relaxed structure of BeIr3Rh.

Cell and atoms, written as POSCAR:
```
BeIr3Rh
1.0
4.112 0.000 0.000
0.000 4.112 0.000
0.000 0.000 4.112
Be Ir Rh
1 3 1
direct
0.000 0.000 0.000
0.000 0.000 0.500
0.000 0.500 0.000
0.500 0.000 0.000
0.500 0.500 0.500
```

Polymorph energy (0 for the lowest one) in meV/atom: 0.0
E_tot in eV/atom: -7.06
Magnetic moment in μB per formula unit: 0.000


(17)
A plane-wave DFT calculation with GGA-PBE was carried out for a relaxed structure of Na2CaUCl8.

Cell and atoms, written as POSCAR:
```
Na2CaUCl8
1.0
6.523 0.000 0.000
0.000 8.401 0.000
-0.451 0.000 6.618
Na Ca U Cl
2 1 1 8
direct
0.000 0.235 0.000
0.000 0.765 0.000
0.500 0.000 0.500
0.500 0.500 0.500
0.215 0.000 0.198
0.217 0.500 0.199
0.304 0.267 0.675
0.304 0.733 0.675
0.696 0.267 0.325
0.696 0.733 0.325
0.783 0.500 0.801
0.785 0.000 0.802
```

Energy relative to the elements, uncorrected in eV per formula unit: -22.8
E_tot in eV/atom: -4.46
Magnetic moment in μB per formula unit: 2.000


(18)
A plane-wave DFT calculation with GGA-PBE was carried out for a relaxed structure of ZrZnFe.

Cell and atoms, written as POSCAR:
```
ZrZnFe
1.0
0.000 3.063 3.063
3.063 0.000 3.063
3.063 3.063 0.000
Zr Zn Fe
1 1 1
direct
0.000 0.000 0.000
0.750 0.750 0.750
0.250 0.250 0.250
```

E_tot in eV/atom: -5.37
Magnetic moment in μB per formula unit: 0.001


(19)
A plane-wave DFT calculation with GGA-PBE was carried out for a relaxed structure of Cu2IrSe.

Cell and atoms, written as POSCAR:
```
Cu2IrSe
1.0
-1.844 1.844 4.170
1.844 -1.844 4.170
1.844 1.844 -4.170
Cu Ir Se
2 1 1
direct
0.250 0.750 0.500
0.750 0.250 0.500
0.000 0.000 0.000
0.500 0.500 0.000
```

Energy relative to the elements, uncorrected in eV per formula unit: 1.3
E_tot in eV/atom: -4.81
Magnetic moment in μB per formula unit: 0.000


(20)
A plane-wave DFT calculation with GGA-PBE was carried out for a relaxed structure of Nd2Sc3Ga4.

Cell and atoms, written as POSCAR:
```
Nd2Sc3Ga4
1.0
7.683 0.000 0.000
0.000 7.671 0.000
-2.308 0.000 7.066
Nd Sc Ga
4 6 8
direct
0.192 0.175 0.073
0.192 0.325 0.573
0.808 0.675 0.427
0.808 0.825 0.927
0.249 0.674 0.249
0.249 0.826 0.749
0.500 0.000 0.500
0.500 0.500 0.000
0.751 0.174 0.251
0.751 0.326 0.751
0.081 0.537 0.869
0.081 0.963 0.369
0.498 0.121 0.873
0.498 0.379 0.373
0.502 0.621 0.627
0.502 0.879 0.127
0.919 0.037 0.631
0.919 0.463 0.131
```

Polymorph energy (0 for the lowest one) in meV/atom: 0.0
E_tot in eV/atom: -5.12
Magnetic moment in μB per formula unit: 0.000